(1)
Cr4O3F9 | PBE with a Hubbard U | optimized geometry

CIF file:
```
data_Cr4O3F9
_space_group_name_H-M_alt 'P 1'
_space_group_IT_number 1
_cell_length_a 5.041
_cell_length_b 5.310
_cell_length_c 8.854
_cell_angle_alpha 72.83
_cell_angle_beta 89.58
_cell_angle_gamma 61.83
loop_
_space_group_symop_operation_xyz
'x,y,z'
loop_
_atom_site_label
_atom_site_fract_x
_atom_site_fract_y
_atom_site_fract_z
Cr1 0.000 0.000 0.000
Cr2 0.226 0.499 0.746
Cr3 0.528 0.982 0.508
Cr4 0.767 0.503 0.250
O1 0.078 0.238 0.843
O2 0.931 0.761 0.157
O3 0.947 0.729 0.568
F1 0.008 0.230 0.133
F2 0.082 0.246 0.436
F3 0.437 0.737 0.688
F4 0.439 0.737 0.066
F5 0.499 0.236 0.634
F6 0.521 0.748 0.375
F7 0.566 0.262 0.933
F8 0.579 0.249 0.322
F9 0.996 0.766 0.867
```

**Crystal system**: triclinic
**VASP energy**: -97.233 eV/cell
**Calculated volume**: 197.1 Å³/cell
**Energy above the most stable polymorph in this dataset**: 0 meV/atom
**Total moment**: 9.00 μB/f.u.

=====

(2)
Cr3O4F | PBE with a Hubbard U | optimized geometry

CIF file:
```
data_Cr3O4F
_space_group_name_H-M_alt 'C 1 c 1'
_space_group_IT_number 9
_cell_length_a 10.152
_cell_length_b 5.153
_cell_length_c 7.165
_cell_angle_alpha 90.00
_cell_angle_beta 111.51
_cell_angle_gamma 90.00
loop_
_space_group_symop_operation_xyz
'x,y,z'
'x,-y,z+1/2'
'x+1/2,y+1/2,z'
'x+1/2,-y+1/2,z+1/2'
loop_
_atom_site_label
_atom_site_fract_x
_atom_site_fract_y
_atom_site_fract_z
Cr1 0.000 0.001 0.000
Cr2 0.107 0.487 0.203
Cr3 0.368 0.009 0.281
O1 0.067 0.342 0.438
O2 0.181 0.160 0.146
O3 0.411 0.164 0.553
O4 0.490 0.301 0.244
F1 0.299 0.344 0.841
```

**Crystal system**: monoclinic
**VASP energy**: -241.922 eV/cell
**Calculated volume**: 348.7 Å³/cell
**Total moment**: 9.00 μB/f.u.

=====

(3)
Cr4O3F9 | PBE with a Hubbard U | optimized geometry

CIF file:
```
data_Cr4O3F9
_space_group_name_H-M_alt 'P 1'
_space_group_IT_number 1
_cell_length_a 5.505
_cell_length_b 5.671
_cell_length_c 9.114
_cell_angle_alpha 75.28
_cell_angle_beta 72.87
_cell_angle_gamma 64.62
loop_
_space_group_symop_operation_xyz
'x,y,z'
loop_
_atom_site_label
_atom_site_fract_x
_atom_site_fract_y
_atom_site_fract_z
Cr1 0.000 0.000 0.000
Cr2 0.070 0.626 0.837
Cr3 0.373 0.451 0.518
Cr4 0.515 0.038 0.356
O1 0.218 0.884 0.831
O2 0.484 0.743 0.412
O3 0.720 0.040 0.163
F1 0.016 0.679 0.623
F2 0.097 0.605 0.052
F3 0.227 0.024 0.094
F4 0.280 0.141 0.565
F5 0.302 0.424 0.322
F6 0.434 0.398 0.726
F7 0.723 0.176 0.429
F8 0.745 0.922 0.901
F9 0.894 0.364 0.908
```

**Crystal system**: triclinic
**VASP energy**: -95.081 eV/cell
**Calculated volume**: 243.0 Å³/cell
**Energy above the most stable polymorph in this dataset**: 135 meV/atom
**Total moment**: 9.00 μB/f.u.